# 1
This record from Alexandria describes BaZn2GaCu after structural relaxation. The functional is GGA-PBE.

formation energy from the elements = -0.11 eV per atom
SG = P4/mmm

Cell: 4.8679 4.8679 4.8027 Å, 90.00 90.00 90.00°
Closest atoms and distances in Å follow each position.
Sites, in units of the cell vectors:
Zn1 0.0000 0.5000 0.0000  2 Cu 2.43
Zn2 0.5000 0.0000 0.0000  2 Cu 2.43
Cu1 0.0000 0.0000 0.0000  2 Ga 2.40, 4 Zn 2.43
Ba1 0.5000 0.5000 0.5000  8 Zn 3.42, 4 Ga 3.44
Ga1 0.0000 0.0000 0.5000  2 Cu 2.40



# 2
This record from Alexandria describes Th2Pd3Pt3 after structural relaxation. The functional is GGA-PBE.

formation energy from the elements = -0.86 eV per atom
SG = R32

Cell: 5.4449 5.4449 5.4449 Å, 96.08 96.08 83.91°
Closest atoms and distances in Å follow each position.
Sites, in units of the cell vectors:
Th1 0.2453 0.2453 0.7547  6 Pt 2.99-3.07, 6 Pd 3.00-3.13
Th2 0.7547 0.7547 0.2453  6 Pt 2.99-3.07, 6 Pd 3.00-3.13
Pd1 0.2710 0.7290 0.5000  2 Pt 2.73, 2 Pd 2.89, 2 Th 3.00
Pd2 0.5000 0.2710 0.2710  2 Pt 2.73, 2 Pd 2.89, 2 Th 3.00
Pd3 0.7290 0.5000 0.7290  2 Pt 2.73, 2 Pd 2.89, 2 Th 3.00
Pt1 0.2353 0.7647 0.0000  2 Pd 2.73, 2 Pt 2.97, 2 Th 2.99
Pt2 0.0000 0.2353 0.2353  2 Pd 2.73, 2 Pt 2.97, 2 Th 2.99
Pt3 0.7647 0.0000 0.7647  2 Pd 2.73, 2 Pt 2.97, 2 Th 2.99



# 3
This record from Alexandria describes KCeEr4S8 after structural relaxation. The functional is GGA-PBE.

E_form (uncorrected) = -26.60 eV/f.u.
SG = R3m

Cell: 8.1404 8.1404 8.2961 Å, 60.62 60.62 60.00°
Closest atoms and distances in Å follow each position.
Sites, in units of the cell vectors:
K1 0.3716 0.3716 0.8852  4 S 2.85-2.86
Ce1 0.0040 0.0040 0.9880  6 S 2.75-2.95
Er1 0.6258 0.6258 0.1226  4 S 2.63-2.70
Er2 0.0047 0.4872 0.5034  6 S 2.64-2.88
Er3 0.4872 0.0047 0.5034  6 S 2.64-2.88
Er4 0.0047 0.0047 0.5034  6 S 2.64-2.88
S1 0.2394 0.7992 0.7219  2 Er 2.64, 1 Ce 2.75, 1 K 2.86
S2 0.7992 0.2394 0.7219  2 Er 2.64, 1 Ce 2.75, 1 K 2.86
S3 0.2394 0.2394 0.7219  2 Er 2.64, 1 Ce 2.75, 1 K 2.86
S4 0.2325 0.2325 0.3025  3 Er 2.65, 1 K 2.85
S5 0.7512 0.2316 0.2659  3 Er 2.63-2.86
S6 0.2316 0.7512 0.2659  3 Er 2.63-2.86
S7 0.7512 0.7512 0.2659  3 Er 2.63-2.86
S8 0.7573 0.7573 0.7280  4 Er 2.70-2.88



# 4
This record from Alexandria describes Tb4BiTe3 after structural relaxation. The functional is GGA-PBE.

E_form (uncorrected) = -9.72 eV/f.u.
SG = Cmmm

Cell: 4.3911 7.6287 7.6287 Å, 109.30 90.00 90.00°
Closest atoms and distances in Å follow each position.
Sites, in units of the cell vectors:
Tb1 0.0000 0.2516 0.2516  4 Te 3.10-3.11, 2 Bi 3.12
Tb2 0.5000 0.7487 0.2513  5 Te 3.10-3.11, 1 Bi 3.13
Tb3 0.0000 0.7484 0.7484  4 Te 3.10-3.11, 2 Bi 3.12
Tb4 0.5000 0.2513 0.7487  5 Te 3.10-3.11, 1 Bi 3.13
Bi1 0.5000 0.0000 0.0000  6 Tb 3.12-3.13
Te1 0.0000 0.0000 0.5000  6 Tb 3.11
Te2 0.5000 0.5000 0.5000  6 Tb 3.10
Te3 0.0000 0.5000 0.0000  6 Tb 3.11



# 5
This record from Alexandria describes H8PtN2Cl2O2 after structural relaxation. The functional is GGA-PBE.

SG = P2_1/c

Cell: 7.0369 6.2241 8.1307 Å, 74.96 90.00 90.00°
Closest atoms and distances in Å follow each position.
Sites, in units of the cell vectors:
H1 0.7396 0.3285 0.4528  1 N 1.03
H2 0.2396 0.6715 0.0472  1 N 1.03
H3 0.2604 0.6715 0.5472  1 N 1.03
H4 0.7604 0.3285 0.9528  1 N 1.03
H5 0.8390 0.1299 0.3735  1 N 1.04
H6 0.3390 0.8701 0.1265  1 N 1.04
H7 0.1610 0.8701 0.6265  1 N 1.04
H8 0.6610 0.1299 0.8735  1 N 1.04
H9 0.8386 0.1024 0.5863  1 N 1.05
H10 0.3386 0.8976 0.9137  1 N 1.05
H11 0.1614 0.8976 0.4137  1 N 1.05
H12 0.6614 0.1024 0.0863  1 N 1.05
H13 0.6090 0.8058 0.2844  1 O 0.98
H14 0.1090 0.1942 0.2156  1 O 0.98
H15 0.8910 0.8058 0.7844  1 O 0.98
H16 0.3910 0.1942 0.7156  1 O 0.98
Pt1 0.5000 0.0000 0.5000  2 O 2.04, 2 N 2.07
Pt2 0.0000 0.0000 0.0000  2 O 2.04, 2 N 2.07
N1 0.7604 0.1604 0.4740  3 H 1.03-1.05
N2 0.2604 0.8396 0.0260  3 H 1.03-1.05
N3 0.2396 0.8396 0.5260  3 H 1.03-1.05
N4 0.7396 0.1604 0.9740  3 H 1.03-1.05
Cl1 0.6484 0.6609 0.6265  1 Pt 2.34, 1 H 2.45
Cl2 0.1484 0.3391 0.8735  1 Pt 2.34, 1 H 2.45
Cl3 0.3516 0.3391 0.3735  1 Pt 2.34, 1 H 2.45
Cl4 0.8516 0.6609 0.1265  1 Pt 2.34, 1 H 2.45
O1 0.5269 0.9375 0.2664  1 H 0.98
O2 0.0269 0.0625 0.2336  1 H 0.98
O3 0.4731 0.0625 0.7336  1 H 0.98
O4 0.9731 0.9375 0.7664  1 H 0.98



# 6
This record from Alexandria describes SmIrPb2O8 after structural relaxation. The functional is GGA-PBE.

E_form (uncorrected) = -15.44 eV/f.u.
SG = P2/m

Cell: 5.0277 5.0245 6.8611 Å, 89.99 89.99 88.99°
Closest atoms and distances in Å follow each position.
Sites, in units of the cell vectors:
Sm1 0.0000 0.0000 0.5000  6 O 2.26-2.35
Ir1 0.0000 0.0000 0.0000  6 O 1.97-1.98
Pb1 0.4998 0.4998 0.7558  6 O 2.20-2.33
Pb2 0.5002 0.5002 0.2442  6 O 2.20-2.33
O1 0.1806 0.8078 0.2162  1 Ir 1.98, 1 Pb 2.22
O2 0.7188 0.7318 0.9999  1 Ir 1.97
O3 0.8191 0.1918 0.2162  1 Ir 1.98, 1 Pb 2.22
O4 0.8194 0.1922 0.7838  1 Ir 1.98, 1 Pb 2.22
O5 0.2812 0.2682 0.0001  1 Ir 1.97
O6 0.1809 0.8082 0.7838  1 Ir 1.98, 1 Pb 2.22
O7 0.6779 0.6920 0.5001  2 Pb 2.20, 1 Sm 2.26
O8 0.3221 0.3080 0.4999  2 Pb 2.20, 1 Sm 2.26



# 7
This record from Alexandria describes PuInS after structural relaxation. The functional is GGA-PBE.

E_form (uncorrected) = -2.65 eV/f.u.
SG = R-3m

Cell: 4.7329 4.7329 8.4420 Å, 73.72 73.72 60.00°
Closest atoms and distances in Å follow each position.
Sites, in units of the cell vectors:
S1 0.2864 0.2864 0.1406  4 Pu 2.73-2.77
S2 0.7136 0.7136 0.8594  4 Pu 2.73-2.77
In1 0.1521 0.1521 0.5438  3 In 2.82
In2 0.8479 0.8479 0.4562  3 In 2.82
Pu1 0.4002 0.4002 0.7993  4 S 2.73-2.77
Pu2 0.5998 0.5998 0.2007  4 S 2.73-2.77



# 8
This record from Alexandria describes ScBi2BPd after structural relaxation. The functional is GGA-PBE.

formation energy from the elements = 0.15 eV per atom
SG = P4/mmm

Cell: 5.2056 4.0602 5.2056 Å, 90.00 90.00 90.00°
Closest atoms and distances in Å follow each position.
Sites, in units of the cell vectors:
Sc1 0.5000 0.5000 0.5000  8 Bi 3.30, 4 Pd 3.68
B1 0.0000 0.0000 0.0000  2 Pd 2.03
Bi1 0.0000 0.0000 0.5000  2 B 2.60
Bi2 0.5000 0.0000 0.0000  2 B 2.60
Pd1 0.0000 0.5000 0.0000  2 B 2.03



# 9
This record from Alexandria describes LaSe4 after structural relaxation. The functional is GGA-PBE.

E_form (uncorrected) = 0.22 eV/f.u.
SG = Pm-3m

Cell: 5.8656 5.8656 5.8656 Å, 90.00 90.00 90.00°
Closest atoms and distances in Å follow each position.
Sites, in units of the cell vectors:
Se1 0.0000 0.0000 0.0000  12 Se 4.15
Se2 0.5000 0.0000 0.5000  2 La 2.93
Se3 0.0000 0.5000 0.5000  2 La 2.93
Se4 0.5000 0.5000 0.0000  2 La 2.93
La1 0.5000 0.5000 0.5000  6 Se 2.93



# 10
This record from Alexandria describes CsLiSbAu2 after structural relaxation. The functional is GGA-PBE.

E_form (uncorrected) = -1.36 eV/f.u.
SG = P4/mmm

Cell: 5.5163 5.5163 5.2831 Å, 90.00 90.00 90.00°
Closest atoms and distances in Å follow each position.
Sites, in units of the cell vectors:
Cs1 0.5000 0.5000 0.5000  8 Au 3.82, 4 Li 3.90
Sb1 0.0000 0.0000 0.0000  2 Li 2.64, 4 Au 2.76
Au1 0.0000 0.5000 0.0000  2 Sb 2.76
Au2 0.5000 0.0000 0.0000  2 Sb 2.76
Li1 0.0000 0.0000 0.5000  2 Sb 2.64



# 11
This record from Alexandria describes HfHO2 after structural relaxation. The functional is GGA-PBE.

SG = Fm-3m

Cell: 3.6431 3.6431 3.6431 Å, 60.00 60.00 60.00°
Closest atoms and distances in Å follow each position.
Sites, in units of the cell vectors:
H1 0.0000 0.0000 0.0000  8 O 2.23
Hf1 0.5000 0.5000 0.5000  8 O 2.23
O1 0.2500 0.2500 0.2500  4 Hf 2.23, 4 H 2.23
O2 0.7500 0.7500 0.7500  4 Hf 2.23, 4 H 2.23



# 12
This record from Alexandria describes CaOsRh3 after structural relaxation. The functional is GGA-PBE.

formation energy from the elements = 2.09 eV per atom
SG = Pm-3m

Cell: 4.6227 4.6227 4.6227 Å, 90.00 90.00 90.00°
Closest atoms and distances in Å follow each position.
Sites, in units of the cell vectors:
Rh1 0.0000 0.5000 0.0000  2 Ca 2.31
Rh2 0.0000 0.0000 0.5000  2 Ca 2.31
Rh3 0.5000 0.0000 0.0000  2 Ca 2.31
Ca1 0.0000 0.0000 0.0000  6 Rh 2.31
Os1 0.5000 0.5000 0.5000  12 Rh 3.27



# 13
This record from Alexandria describes Pm4Hg5Pd2 after structural relaxation. The functional is GGA-PBE.

formation energy from the elements = -0.57 eV per atom
SG = P2/m

Cell: 3.7296 7.7841 9.6974 Å, 93.83 90.00 90.00°
Closest atoms and distances in Å follow each position.
Sites, in units of the cell vectors:
Pm1 0.5000 0.7634 0.5653  4 Pd 3.04-3.08, 6 Hg 3.31-3.38
Pm2 0.5000 0.1813 0.8579  2 Pd 2.94
Pm3 0.5000 0.2366 0.4347  4 Pd 3.04-3.08, 6 Hg 3.31-3.38
Pm4 0.5000 0.8187 0.1421  2 Pd 2.94
Hg1 0.0000 0.5513 0.3243  1 Pd 2.94, 1 Hg 3.14
Hg2 0.0000 0.1686 0.1449  1 Pd 2.93, 1 Hg 3.02
Hg3 0.0000 0.5000 0.0000  4 Hg 3.02-3.14, 4 Pm 3.33
Hg4 0.0000 0.8314 0.8551  1 Pd 2.93, 1 Hg 3.02
Hg5 0.0000 0.4487 0.6757  1 Pd 2.94, 1 Hg 3.14
Pd1 0.0000 0.0712 0.6348  1 Pd 2.77, 2 Hg 2.93-2.94, 6 Pm 2.94-3.08
Pd2 0.0000 0.9288 0.3652  1 Pd 2.77, 2 Hg 2.93-2.94, 6 Pm 2.94-3.08



# 14
This record from Alexandria describes Dy6CdS4 after structural relaxation. The functional is GGA-PBE.

E_form (uncorrected) = -16.82 eV/f.u.
SG = Cmcm

Cell: 3.9425 6.8048 20.1211 Å, 90.00 90.00 106.84°
Closest atoms and distances in Å follow each position.
Sites, in units of the cell vectors:
Dy1 0.5000 0.0000 0.0000  6 S 2.73-2.78
Dy2 0.5000 0.0000 0.5000  6 S 2.73-2.78
Dy3 0.0387 0.0774 0.3416  3 S 2.72-2.73
Dy4 0.9613 0.9226 0.6584  3 S 2.72-2.73
Dy5 0.9613 0.9226 0.8416  3 S 2.72-2.73
Dy6 0.0387 0.0774 0.1584  3 S 2.72-2.73
Dy7 0.7712 0.5425 0.4160  5 S 2.74-2.78
Dy8 0.2288 0.4575 0.5840  5 S 2.74-2.78
Dy9 0.2288 0.4575 0.9160  5 S 2.74-2.78
Dy10 0.7712 0.5425 0.0840  5 S 2.74-2.78
Dy11 0.3416 0.6832 0.2500  2 S 2.72
Dy12 0.6584 0.3168 0.7500  2 S 2.72
Cd1 0.6598 0.3196 0.2500  6 Dy 3.08-3.13
Cd2 0.3402 0.6804 0.7500  6 Dy 3.08-3.13
S1 0.8627 0.7253 0.5392  6 Dy 2.72-2.78
S2 0.4057 0.8113 0.1213  6 Dy 2.72-2.74
S3 0.1373 0.2747 0.4608  6 Dy 2.72-2.78
S4 0.5943 0.1887 0.8787  6 Dy 2.72-2.74
S5 0.8627 0.7253 0.9608  6 Dy 2.72-2.78
S6 0.1373 0.2747 0.0392  6 Dy 2.72-2.78
S7 0.5943 0.1887 0.6213  6 Dy 2.72-2.74
S8 0.4057 0.8113 0.3787  6 Dy 2.72-2.74



# 15
This record from Alexandria describes Na2TiBeN after structural relaxation. The functional is GGA-PBE.

E_form (uncorrected) = 10.31 eV/f.u.
SG = P4/mmm

Cell: 6.0783 4.7131 6.0783 Å, 90.00 90.00 90.00°
Closest atoms and distances in Å follow each position.
Sites, in units of the cell vectors:
Na1 0.0000 0.0000 0.5000  2 Ti 3.04
Na2 0.5000 0.0000 0.0000  2 Ti 3.04
N1 0.5000 0.5000 0.5000  8 Na 3.85, 4 Be 4.30
Be1 0.0000 0.5000 0.0000  2 Ti 2.36
Ti1 0.0000 0.0000 0.0000  2 Be 2.36



# 16
This record from Alexandria describes TaAsCl2 after structural relaxation. The functional is GGA-PBE.

E_form (uncorrected) = 2.08 eV/f.u.
SG = Fm-3m

Cell: 4.5977 4.5977 4.5977 Å, 60.00 60.00 60.00°
Closest atoms and distances in Å follow each position.
Sites, in units of the cell vectors:
As1 0.0000 0.0000 0.0000  8 Cl 2.82
Cl1 0.2500 0.2500 0.2500  4 Ta 2.82, 4 As 2.82
Cl2 0.7500 0.7500 0.7500  4 Ta 2.82, 4 As 2.82
Ta1 0.5000 0.5000 0.5000  8 Cl 2.82



# 17
This record from Alexandria describes LiCdSb2 after structural relaxation. The functional is GGA-PBE.

E_form (uncorrected) = -0.68 eV/f.u.
SG = R3m

Cell: 4.5880 4.5880 6.4286 Å, 69.09 69.09 60.00°
Closest atoms and distances in Å follow each position.
Sites, in units of the cell vectors:
Li1 0.4976 0.4976 0.5073  6 Sb 2.98-3.02, 1 Cd 3.02
Cd1 0.6692 0.6692 0.9924  1 Li 3.02, 6 Sb 3.03-3.08
Sb1 0.0865 0.0865 0.7406  1 Sb 2.82, 3 Li 2.98, 3 Cd 3.03
Sb2 0.2468 0.2468 0.2597  1 Sb 2.82, 3 Li 3.02, 3 Cd 3.08



# 18
This record from Alexandria describes Mg8Zn2Ga after structural relaxation. The functional is GGA-PBE.

formation energy from the elements = -0.05 eV per atom
SG = C2/m

Cell: 4.5733 6.8616 8.1374 Å, 111.68 106.32 90.00°
Closest atoms and distances in Å follow each position.
Sites, in units of the cell vectors:
Mg1 0.4004 0.5462 0.8009  2 Zn 2.79, 1 Ga 2.90, 3 Mg 3.01-3.04
Mg2 0.6705 0.9334 0.3411  3 Zn 2.76-2.95, 1 Ga 2.87, 2 Mg 3.04-3.07
Mg3 0.8162 0.7351 0.6324  3 Zn 2.81-2.99, 1 Mg 3.07
Mg4 0.9748 0.2329 0.9496  1 Zn 2.80, 2 Ga 2.90, 4 Mg 3.01-3.11
Mg5 0.1838 0.2649 0.3676  3 Zn 2.81-2.99, 1 Mg 3.07
Mg6 0.3295 0.0666 0.6589  3 Zn 2.76-2.95, 1 Ga 2.87, 2 Mg 3.04-3.07
Mg7 0.5996 0.4538 0.1991  2 Zn 2.79, 1 Ga 2.90, 3 Mg 3.01-3.04
Mg8 0.0252 0.7671 0.0504  1 Zn 2.80, 2 Ga 2.90, 4 Mg 3.01-3.11
Zn1 0.8147 0.3247 0.6295  9 Mg 2.76-2.99
Zn2 0.1853 0.6753 0.3705  9 Mg 2.76-2.99
Ga1 0.5000 0.0000 0.0000  8 Mg 2.87-2.90



# 19
This record from Alexandria describes Ta2PbSe after structural relaxation. The functional is GGA-PBE.

E_form (uncorrected) = 2.51 eV/f.u.
SG = F-43m

Cell: 4.8522 4.8522 4.8522 Å, 60.00 60.00 60.00°
Closest atoms and distances in Å follow each position.
Sites, in units of the cell vectors:
Pb1 0.5000 0.5000 0.5000  4 Ta 2.97, 4 Se 2.97
Se1 0.2500 0.2500 0.2500  4 Ta 2.97, 4 Pb 2.97
Ta1 0.0000 0.0000 0.0000  4 Se 2.97, 4 Ta 2.97
Ta2 0.7500 0.7500 0.7500  4 Ta 2.97, 4 Pb 2.97



# 20
This record from Alexandria describes Ta2AlPt after structural relaxation. The functional is GGA-PBE.

formation energy from the elements = -0.21 eV per atom
SG = R-3m

Cell: 9.5730 9.5730 9.5730 Å, 17.34 17.34 17.34°
Closest atoms and distances in Å follow each position.
Sites, in units of the cell vectors:
Al1 0.2500 0.2500 0.2500  6 Al 2.89, 6 Ta 2.91
Pt1 0.7500 0.7500 0.7500  6 Ta 2.87, 6 Pt 2.89
Ta1 0.0009 0.0009 0.0009  3 Pt 2.87, 6 Ta 2.89, 3 Al 2.91
Ta2 0.4991 0.4991 0.4991  3 Pt 2.87, 6 Ta 2.89, 3 Al 2.91



no.,theoretical density (Mg/m³),total energy (eV/atom)
1,5.857,-2.43
2,14.304,-6.93
3,4.676,-6.06
4,8.451,-5.19
5,3.226,-4.85
6,8.480,-6.34
7,8.378,-7.95
8,8.756,-5.05
9,3.742,-3.73
10,6.771,-2.96
11,10.272,-7.69
12,9.061,-4.97
13,10.616,-3.38
14,7.814,-5.62
15,1.114,-2.45
16,7.896,-4.53
17,5.643,-2.94
18,2.900,-1.72
19,13.322,-7.10
20,14.259,-8.59